1.
A plane-wave DFT calculation with PBE-GGA was carried out for TiTl3Sb3Se8 after structural relaxation.

Crystal system   trigonal
SG   No. 166

a b c (Å): 8.1593 8.1638 9.0811
angles (deg): 116.71 90.01 120.02
Positions (direct):
Se1 0.7826 0.0246 0.3073
Se2 0.7377 0.4755 0.7134
Se3 0.2174 0.9754 0.6927
Se4 0.7580 0.9753 0.6927
Se5 0.2623 0.5245 0.2866
Se6 0.7827 0.5656 0.3074
Se7 0.2420 0.0247 0.3073
Se8 0.2173 0.4344 0.6926
Ti1 0.0000 0.0000 0.5000
Tl1 0.5000 0.5000 0.0000
Tl2 0.0000 0.5000 0.0000
Tl3 0.0000 0.0000 0.0000
Sb1 0.5000 0.5000 0.5000
Sb2 0.5000 0.0000 0.5000
Sb3 0.0000 0.5000 0.5000

2.
A plane-wave DFT calculation with PBE-GGA was carried out for Tl2Sb3Se6 after structural relaxation.

Crystal system   monoclinic
SG   No. 12

a b c (Å): 7.0541 7.0706 8.1604
angles (deg): 81.70 73.19 60.08
Positions (direct):
Se1 0.7374 0.0000 0.7856
Se2 0.0704 0.3340 0.7885
Se3 0.4044 0.6660 0.7885
Se4 0.5956 0.3340 0.2115
Se5 0.2626 0.0000 0.2144
Se6 0.9296 0.6660 0.2115
Tl1 0.8359 0.3282 0.5000
Tl2 0.1641 0.6718 0.5000
Sb1 0.3325 0.3350 0.0000
Sb2 0.0000 0.0000 0.0000
Sb3 0.6675 0.6650 0.0000

3.
A plane-wave DFT calculation with PBE-GGA was carried out for TlSbSe after structural relaxation.

Crystal system   tetragonal
SG   No. 107

a b c (Å): 6.5313 6.5313 3.9398
angles (deg): 72.45 72.45 35.11
Positions (direct):
Tl1 0.6633 0.6633 0.3367
Sb1 0.9549 0.9549 0.0451
Se1 0.3818 0.3818 0.6182

4.
A plane-wave DFT calculation with PBE-GGA was carried out for Tl2SbSe4 after structural relaxation.

Crystal system   tetragonal
SG   No. 139

a b c (Å): 5.4771 5.4771 8.4497
angles (deg): 71.09 71.09 90.00
Positions (direct):
Se1 0.1731 0.1731 0.6539
Se2 0.0000 0.5000 0.0000
Se3 0.5000 0.0000 0.0000
Se4 0.8269 0.8269 0.3461
Sb1 0.0000 0.0000 0.0000
Tl1 0.3723 0.3723 0.2555
Tl2 0.6277 0.6277 0.7445

5.
A plane-wave DFT calculation with PBE-GGA was carried out for Tl9SbSe6 after structural relaxation.

Crystal system   tetragonal
SG   No. 75

a b c (Å): 12.0641 12.0641 13.6124
angles (deg): 90.00 90.00 90.00
Positions (direct):
Se1 0.5782 0.2301 0.7543
Se2 0.0000 0.5000 0.9653
Se3 0.5000 0.0000 0.5344
Se4 0.4158 0.2707 0.2421
Se5 0.2301 0.4218 0.7543
Se6 0.0747 0.7538 0.7526
Se7 0.2462 0.0747 0.7526
Se8 0.9091 0.7477 0.2461
Se9 0.7477 0.0909 0.2461
Se10 0.2523 0.9091 0.2461
Se11 0.4218 0.7699 0.7543
Se12 0.5000 0.5000 0.4817
Se13 0.9253 0.2462 0.7526
Se14 0.7538 0.9253 0.7526
Se15 0.0000 0.0000 0.4615
Se16 0.5000 0.5000 0.0221
Se17 0.7699 0.5782 0.7543
Se18 0.5842 0.7293 0.2421
Se19 0.0000 0.0000 0.9478
Se20 0.2707 0.5842 0.2421
Se21 0.7293 0.4158 0.2421
Se22 0.0909 0.2523 0.2461
Se23 0.0000 0.5000 0.5344
Se24 0.5000 0.0000 0.9653
Tl1 0.2201 0.1006 0.3955
Tl2 0.2706 0.8958 0.5965
Tl3 0.8958 0.7294 0.5965
Tl4 0.2485 0.8922 0.9050
Tl5 0.7677 0.6033 0.1023
Tl6 0.2323 0.3967 0.1023
Tl7 0.8922 0.7515 0.9050
Tl8 0.5999 0.7365 0.9060
Tl9 0.1042 0.2706 0.5965
Tl10 0.8951 0.2650 0.1107
Tl11 0.2650 0.1049 0.1107
Tl12 0.7799 0.8994 0.3955
Tl13 0.4001 0.2635 0.9060
Tl14 0.1049 0.7350 0.1107
Tl15 0.3956 0.2238 0.5976
Tl16 0.7243 0.6009 0.3997
Tl17 0.6044 0.7762 0.5976
Tl18 0.7294 0.1042 0.5965
Tl19 0.0000 0.5000 0.3064
Tl20 0.5000 0.0000 0.3064
Tl21 0.6009 0.2757 0.3997
Tl22 0.7762 0.3956 0.5976
Tl23 0.0000 0.0000 0.2193
Tl24 0.2635 0.5999 0.9060
Tl25 0.5000 0.5000 0.7053
Tl26 0.3991 0.7243 0.3997
Tl27 0.7350 0.8951 0.1107
Tl28 0.7365 0.4001 0.9060
Tl29 0.2757 0.3991 0.3997
Tl30 0.6033 0.2323 0.1023
Tl31 0.1006 0.7799 0.3955
Tl32 0.8994 0.2201 0.3955
Tl33 0.7515 0.1078 0.9050
Tl34 0.2238 0.6044 0.5976
Tl35 0.1078 0.2485 0.9050
Tl36 0.3967 0.7677 0.1023
Sb1 0.5000 0.5000 0.2175
Sb2 0.0000 0.0000 0.7595
Sb3 0.5000 0.0000 0.7696
Sb4 0.0000 0.5000 0.7696

6.
A plane-wave DFT calculation with PBE-GGA was carried out for TlSb4Se after structural relaxation.

Crystal system   cubic
SG   No. 216

a b c (Å): 6.3108 6.3108 6.3108
angles (deg): 60.00 60.00 60.00
Positions (direct):
Sb1 0.6188 0.6188 0.6188
Sb2 0.6188 0.6188 0.1437
Sb3 0.6188 0.1437 0.6188
Sb4 0.1437 0.6188 0.6188
Tl1 0.0000 0.0000 0.0000
Se1 0.2500 0.2500 0.2500

7.
A plane-wave DFT calculation with PBE-GGA was carried out for Tl2SbSe3 after structural relaxation.

Crystal system   monoclinic
SG   No. 15

a b c (Å): 7.3654 7.6379 7.6379
angles (deg): 68.16 83.38 83.38
Positions (direct):
Se1 0.0171 0.8764 0.8124
Se2 0.9829 0.1236 0.1876
Se3 0.2500 0.3722 0.6278
Se4 0.7500 0.6278 0.3722
Se5 0.5171 0.8124 0.8764
Se6 0.4829 0.1876 0.1236
Sb1 0.7500 0.9286 0.0714
Sb2 0.2500 0.0714 0.9286
Tl1 0.1592 0.4928 0.1985
Tl2 0.8408 0.5072 0.8015
Tl3 0.3408 0.8015 0.5072
Tl4 0.6592 0.1985 0.4928

8.
A plane-wave DFT calculation with PBE-GGA was carried out for TlSbSe after structural relaxation.

Crystal system   monoclinic
SG   No. 12

a b c (Å): 5.0748 5.0748 7.9702
angles (deg): 102.23 102.23 73.81
Positions (direct):
Se1 0.0123 0.0123 0.7456
Se2 0.9877 0.9877 0.2544
Tl1 0.3515 0.3515 0.1278
Tl2 0.6485 0.6485 0.8722
Sb1 0.2536 0.2536 0.5198
Sb2 0.7464 0.7464 0.4802

9.
A plane-wave DFT calculation with PBE-GGA was carried out for TlSbSe after structural relaxation.

Crystal system   cubic
SG   No. 216

a b c (Å): 5.1286 5.1286 5.1286
angles (deg): 60.00 60.00 60.00
Positions (direct):
Tl1 0.5000 0.5000 0.5000
Sb1 0.7500 0.7500 0.7500
Se1 0.0000 0.0000 0.0000

10.
A plane-wave DFT calculation with PBE-GGA was carried out for TlSb2Se3 after structural relaxation.

Crystal system   orthorhombic
SG   No. 63

a b c (Å): 7.0112 8.0136 8.0136
angles (deg): 89.53 90.00 90.00
Positions (direct):
Sb1 0.5000 0.8144 0.8144
Sb2 0.5000 0.1856 0.1856
Sb3 0.0000 0.1856 0.1856
Sb4 0.0000 0.8144 0.8144
Se1 0.7500 0.5512 0.8010
Se2 0.7500 0.0842 0.9158
Se3 0.2500 0.8010 0.5512
Se4 0.7500 0.1990 0.4488
Se5 0.2500 0.4488 0.1990
Se6 0.2500 0.9158 0.0842
Tl1 0.2500 0.4047 0.5953
Tl2 0.7500 0.5953 0.4047

11.
A plane-wave DFT calculation with PBE-GGA was carried out for Tl4SbSe4 after structural relaxation.

Crystal system   monoclinic
SG   No. 12

a b c (Å): 4.2695 7.3992 9.5710
angles (deg): 76.91 77.11 73.23
Positions (direct):
Tl1 0.9110 0.7782 0.3998
Tl2 0.0890 0.2218 0.6002
Tl3 0.3151 0.5993 0.7706
Tl4 0.6849 0.4007 0.2294
Sb1 0.5000 0.0000 0.0000
Se1 0.3215 0.0687 0.2883
Se2 0.8973 0.2714 0.9340
Se3 0.6785 0.9313 0.7117
Se4 0.1027 0.7286 0.0660

12.
A plane-wave DFT calculation with PBE-GGA was carried out for Tl6SbSe4 after structural relaxation.

Crystal system   hexagonal
SG   No. 186

a b c (Å): 7.9114 10.5246 10.5246
angles (deg): 120.00 90.00 90.00
Positions (direct):
Tl1 0.4627 0.6899 0.8450
Tl2 0.9627 0.8450 0.1550
Tl3 0.4627 0.1550 0.8450
Tl4 0.1217 0.4640 0.9280
Tl5 0.9627 0.3101 0.1550
Tl6 0.6217 0.5360 0.4640
Tl7 0.1217 0.4640 0.5360
Tl8 0.1217 0.0720 0.5360
Tl9 0.4627 0.1550 0.3101
Tl10 0.9627 0.8450 0.6899
Tl11 0.6217 0.9280 0.4640
Tl12 0.6217 0.5360 0.0720
Sb1 0.2769 0.6667 0.3333
Sb2 0.7769 0.3333 0.6667
Se1 0.3605 0.3687 0.1843
Se2 0.3605 0.8157 0.1843
Se3 0.3605 0.8157 0.6313
Se4 0.8809 0.6667 0.3333
Se5 0.3809 0.3333 0.6667
Se6 0.8605 0.1843 0.8157
Se7 0.8605 0.1843 0.3687
Se8 0.8605 0.6313 0.8157

Formation energy (no corrections): -502 -299 -74 -4 -350 235 -260 -111 161 -58 -327 -264 (meV/atom)
Magnetization: 0.0 0.0 0.0 0.0 0.0 0.0 0.0 0.0 0.0 0.0 0.0 0.0 (μB/cell)